No. 1
## NaPaSe2O6 (PBE)

Data for an optimized crystal structure of NaPaSe2O6.

Lattice parameters (Å, degrees): 6.187 6.187 6.187 57.04 57.04 57.04
Fractional coordinates of all 10 atoms:
1 Na 0.000 0.000 0.000
2 Pa 0.500 0.500 0.500
3 Se 0.266 0.266 0.266
4 Se 0.734 0.734 0.734
5 O 0.094 0.711 0.458
6 O 0.289 0.542 0.906
7 O 0.458 0.094 0.711
8 O 0.542 0.906 0.289
9 O 0.711 0.458 0.094
10 O 0.906 0.289 0.542

Computed properties:
space group	R-3 (148)
ΔE_f (raw)	-1.591	eV/atom
spin magnetization	0.000	μB per atom
uncorrected energy	-63.45	eV/cell

***

No. 2
## Na2NdNpO4 (PBE)

Data for an optimized crystal structure of Na2NdNpO4.

Lattice parameters (Å, degrees): 6.031 3.546 6.108 90.00 109.82 90.00
Fractional coordinates of all 8 atoms:
1 Na 0.000 0.000 0.000
2 Na 0.000 0.500 0.500
3 Nd 0.500 0.000 0.500
4 Np 0.500 0.500 0.000
5 O 0.280 0.500 0.253
6 O 0.284 0.000 0.773
7 O 0.716 0.000 0.227
8 O 0.720 0.500 0.747

Computed properties:
space group	P2/m (10)
ΔE_f (raw)	-2.402	eV/atom
spin magnetization	0.500	μB per atom
uncorrected energy	-59.40	eV/cell

***

No. 3
## AcMnH6 (PBE)

Data for an optimized crystal structure of AcMnH6.

Lattice parameters (Å, degrees): 4.773 4.773 4.773 59.86 59.86 59.86
Fractional coordinates of all 8 atoms:
1 Ac 0.000 0.000 0.000
2 Mn 0.500 0.500 0.500
3 H 0.089 0.596 0.596
4 H 0.404 0.404 0.911
5 H 0.404 0.911 0.404
6 H 0.596 0.089 0.596
7 H 0.596 0.596 0.089
8 H 0.911 0.404 0.404

Computed properties:
space group	R-3m (166)
excess energy over the best structure of this formula in the dataset	0.000	eV per formula unit
spin magnetization	0.250	μB per atom
uncorrected energy	-35.40	eV/cell

***

No. 4
## PmYThAl (PBE)

Data for an optimized crystal structure of PmYThAl.

Lattice parameters (Å, degrees): 5.427 5.427 5.427 60.00 60.00 60.00
Fractional coordinates of all 4 atoms:
1 Pm 0.000 0.000 0.000
2 Y 0.250 0.250 0.250
3 Th 0.750 0.750 0.750
4 Al 0.500 0.500 0.500

Computed properties:
space group	F-43m (216)
energy relative to the elements	0.006	eV/atom
spin magnetization	0.000	μB per atom
uncorrected energy	-22.35	eV/cell

***

No. 5
## TcP4H36C12Br2 (PBE)

Data for an optimized crystal structure of TcP4H36C12Br2.

Lattice parameters (Å, degrees): 9.440 9.440 9.440 116.83 116.83 95.59
Fractional coordinates of all 55 atoms:
1 Tc 0.000 0.000 0.000
2 P 0.144 0.144 0.344
3 P 0.200 0.856 0.000
4 P 0.800 0.800 0.656
5 P 0.856 0.200 0.000
6 H 0.023 0.450 0.335
7 H 0.043 0.562 0.874
8 H 0.088 0.260 0.596
9 H 0.100 0.899 0.365
10 H 0.101 0.466 0.201
11 H 0.115 0.688 0.665
12 H 0.170 0.688 0.126
13 H 0.260 0.088 0.596
14 H 0.265 0.900 0.799
15 H 0.270 0.611 0.000
16 H 0.312 0.438 0.482
17 H 0.312 0.977 0.427
18 H 0.336 0.740 0.828
19 H 0.389 0.389 0.659
20 H 0.438 0.312 0.482
21 H 0.450 0.023 0.335
22 H 0.466 0.101 0.201
23 H 0.492 0.664 0.404
24 H 0.508 0.912 0.172
25 H 0.534 0.735 0.635
26 H 0.550 0.885 0.573
27 H 0.562 0.043 0.874
28 H 0.611 0.270 0.000
29 H 0.664 0.492 0.404
30 H 0.688 0.115 0.665
31 H 0.688 0.170 0.126
32 H 0.730 0.730 0.341
33 H 0.735 0.534 0.635
34 H 0.740 0.336 0.828
35 H 0.830 0.957 0.518
36 H 0.885 0.550 0.573
37 H 0.899 0.100 0.365
38 H 0.900 0.265 0.799
39 H 0.912 0.508 0.172
40 H 0.957 0.830 0.518
41 H 0.977 0.312 0.427
42 C 0.015 0.212 0.444
43 C 0.169 0.660 0.000
44 C 0.212 0.015 0.444
45 C 0.232 0.788 0.803
46 C 0.340 0.340 0.509
47 C 0.428 0.985 0.197
48 C 0.572 0.768 0.556
49 C 0.660 0.169 0.000
50 C 0.768 0.572 0.556
51 C 0.788 0.232 0.803
52 C 0.831 0.831 0.491
53 C 0.985 0.428 0.197
54 Br 0.206 0.206 0.000
55 Br 0.794 0.794 0.000

Computed properties:
space group	I-42m (121)
spin magnetization	0.018	μB per atom
uncorrected energy	-280.37	eV/cell

***

No. 6
## K4Cd2Hg5 (PBE)

Data for an optimized crystal structure of K4Cd2Hg5.

Lattice parameters (Å, degrees): 8.680 4.492 10.373 90.00 96.41 90.00
Fractional coordinates of all 11 atoms:
1 K 0.222 0.000 0.346
2 K 0.270 0.000 0.859
3 K 0.730 0.000 0.141
4 K 0.778 0.000 0.654
5 Cd 0.436 0.500 0.622
6 Cd 0.564 0.500 0.378
7 Hg 0.000 0.500 0.000
8 Hg 0.098 0.500 0.626
9 Hg 0.390 0.500 0.111
10 Hg 0.610 0.500 0.889
11 Hg 0.902 0.500 0.374

Computed properties:
space group	P2/m (10)
energy relative to the elements	-0.185	eV/atom
spin magnetization	0.000	μB per atom
uncorrected energy	-9.76	eV/cell

***

No. 7
## Dy2Ho3Se8 (PBE)

Data for an optimized crystal structure of Dy2Ho3Se8.

Lattice parameters (Å, degrees): 8.218 8.218 6.963 106.81 106.81 59.69
Fractional coordinates of all 13 atoms:
1 Dy 0.242 0.242 0.163
2 Dy 0.758 0.758 0.837
3 Ho 0.239 0.761 0.500
4 Ho 0.500 0.500 0.000
5 Ho 0.761 0.239 0.500
6 Se 0.120 0.120 0.409
7 Se 0.138 0.616 0.086
8 Se 0.382 0.382 0.577
9 Se 0.384 0.862 0.914
10 Se 0.616 0.138 0.086
11 Se 0.618 0.618 0.423
12 Se 0.862 0.384 0.914
13 Se 0.880 0.880 0.591

Computed properties:
space group	C2/m (12)
ΔE_f (raw)	-1.709	eV/atom
spin magnetization	0.000	μB per atom
uncorrected energy	-73.04	eV/cell

***

No. 8
## Sc2OsRu (PBE)

Data for an optimized crystal structure of Sc2OsRu.

Lattice parameters (Å, degrees): 2.946 2.946 8.368 90.00 90.00 112.90
Fractional coordinates of all 4 atoms:
1 Sc 0.000 0.000 0.247
2 Sc 0.000 0.000 0.753
3 Os 0.500 0.500 0.500
4 Ru 0.500 0.500 0.000

Computed properties:
space group	Cmmm (65)
energy relative to the elements	-0.203	eV/atom
spin magnetization	0.000	μB per atom
uncorrected energy	-33.98	eV/cell

***

No. 9
## AcLa2Zn3 (PBE)

Data for an optimized crystal structure of AcLa2Zn3.

Lattice parameters (Å, degrees): 3.816 3.816 11.420 90.00 90.00 90.00
Fractional coordinates of all 6 atoms:
1 Ac 0.000 0.000 0.000
2 La 0.000 0.000 0.338
3 La 0.000 0.000 0.662
4 Zn 0.500 0.500 0.179
5 Zn 0.500 0.500 0.500
6 Zn 0.500 0.500 0.821

Computed properties:
space group	P4/mmm (123)
energy relative to the elements	-0.284	eV/atom
spin magnetization	0.000	μB per atom
uncorrected energy	-19.49	eV/cell

***

No. 10
## NaPdF2 (PBE)

Data for an optimized crystal structure of NaPdF2.

Lattice parameters (Å, degrees): 6.907 6.907 6.907 25.99 25.99 25.99
Fractional coordinates of all 4 atoms:
1 Na 0.000 0.000 0.000
2 Pd 0.500 0.500 0.500
3 F 0.400 0.400 0.400
4 F 0.600 0.600 0.600

Computed properties:
space group	R-3m (166)
excess energy over the best structure of this formula in the dataset	0.000	eV per formula unit
ΔE_f (raw)	-1.737	eV/atom
spin magnetization	0.000	μB per atom
uncorrected energy	-17.20	eV/cell

***

No. 11
## InAg2Sn2 (PBE)

Data for an optimized crystal structure of InAg2Sn2.

Lattice parameters (Å, degrees): 8.874 8.874 3.064 90.00 90.00 90.00
Fractional coordinates of all 10 atoms:
1 In 0.000 0.000 0.000
2 In 0.500 0.500 0.000
3 Ag 0.155 0.345 0.500
4 Ag 0.345 0.845 0.500
5 Ag 0.655 0.155 0.500
6 Ag 0.845 0.655 0.500
7 Sn 0.141 0.641 0.000
8 Sn 0.359 0.141 0.000
9 Sn 0.641 0.859 0.000
10 Sn 0.859 0.359 0.000

Computed properties:
space group	P4/mbm (127)
energy relative to the elements	0.089	eV/atom
excess energy over the best structure of this formula in the dataset	0.144	eV per formula unit
spin magnetization	0.000	μB per atom
uncorrected energy	-32.00	eV/cell

***

No. 12
## Li2GaB2Pt5 (PBE)

Data for an optimized crystal structure of Li2GaB2Pt5.

Lattice parameters (Å, degrees): 9.370 9.370 3.068 90.00 90.00 90.00
Fractional coordinates of all 20 atoms:
1 Li 0.174 0.326 0.000
2 Li 0.326 0.826 0.000
3 Li 0.674 0.174 0.000
4 Li 0.826 0.674 0.000
5 Ga 0.000 0.000 0.000
6 Ga 0.500 0.500 0.000
7 B 0.126 0.626 0.000
8 B 0.374 0.126 0.000
9 B 0.626 0.874 0.000
10 B 0.874 0.374 0.000
11 Pt 0.000 0.500 0.500
12 Pt 0.074 0.785 0.500
13 Pt 0.215 0.074 0.500
14 Pt 0.285 0.574 0.500
15 Pt 0.426 0.285 0.500
16 Pt 0.500 0.000 0.500
17 Pt 0.574 0.715 0.500
18 Pt 0.715 0.426 0.500
19 Pt 0.785 0.926 0.500
20 Pt 0.926 0.215 0.500

Computed properties:
space group	P4/mbm (127)
energy relative to the elements	-0.557	eV/atom
spin magnetization	0.000	μB per atom
uncorrected energy	-111.97	eV/cell